(1)
An optimized crystal structure of K2SrInBi2. Source: Alexandria, functional GGA-PBE.

Lattice parameters (Å, degrees): 5.6657 9.7930 8.2723 90.00 90.00 90.00
Space group Pmc2_1 (No. 26)
One atom of each set of equivalent atoms:
K (0.0000, 0.0773, 0.0000) x2
K (0.5000, 0.1537, 0.3165) x2
Sr (0.5000, 0.4757, 0.0054) x2
In (0.0000, 0.3140, 0.6573) x2
Bi (0.0000, 0.3784, 0.2771) x2
Bi (0.5000, 0.2062, 0.7374) x2

- DFT total energy (Ry per atom) = -0.2125
- ΔH_f (0 K) (meV per atom) = -495
- magnetic moment (μB/f.u.) = 0.0
- calculated density (kg/m3) = 5055

---

(2)
An optimized crystal structure of La2Er13. Source: Alexandria, functional GGA-PBE.

Lattice parameters (Å, degrees): 9.1270 9.1270 24.6452 90.00 90.00 120.00
Space group R-3m (No. 166, hexagonal axes)
One atom of each set of equivalent atoms:
La (0.0000, 0.0000, 0.2452) x6
Er (0.0000, 0.0000, 0.0000) x3
Er (0.0832, 0.5416, 0.3053) x18
Er (0.0941, 0.5470, 0.5583) x18

- DFT total energy (Ry per atom) = -0.2947
- ΔH_f (0 K) (meV per atom) = 602
- magnetic moment (μB/f.u.) = 0.0
- calculated density (kg/m3) = 6871

---

(3)
An optimized crystal structure of La3PmSmDy. Source: Alexandria, functional GGA-PBE.

Lattice parameters (Å, degrees): 20.8948 5.9183 6.8653 90.00 90.09 90.00
Space group C2/m (No. 12)
One atom of each set of equivalent atoms:
La (0.0165, 0.0000, 0.2551) x4
La (0.1592, 0.5000, 0.2619) x4
La (0.2195, 0.5000, 0.7555) x4
Pm (0.1435, 0.0000, 0.9859) x4
Sm (0.0591, 0.5000, 0.7480) x4
Dy (0.1461, 0.0000, 0.5305) x4

- DFT total energy (Ry per atom) = -0.3422
- ΔH_f (0 K) (meV per atom) = 153
- magnetic moment (μB/f.u.) = 0.0
- calculated density (kg/m3) = 6842

---

(4)
An optimized crystal structure of SmHfPaN4. Source: Alexandria, functional GGA-PBE.

Lattice parameters (Å, degrees): 3.9679 3.9679 12.8321 90.00 90.00 90.00
Space group I4mm (No. 107)
One atom of each set of equivalent atoms:
Sm (0.0000, 0.0000, 0.0000) x2
Hf (0.0000, 0.0000, 0.6479) x2
Pa (0.0000, 0.0000, 0.2945) x2
N (0.0000, 0.0000, 0.4780) x2
N (0.0000, 0.0000, 0.8363) x2
N (0.0000, 0.5000, 0.1887) x4

- DFT total energy (Ry per atom) = -0.7047
- magnetic moment (μB/f.u.) = 0.0
- formation energy without anion corrections (eV per formula unit) = -9.64
- calculated density (kg/m3) = 10125

---

(5)
An optimized crystal structure of Ce6PaGe3. Source: Alexandria, functional GGA-PBE.

Lattice parameters (Å, degrees): 12.7923 12.7923 11.9834 90.00 90.00 120.00
Space group R-3 (No. 148, hexagonal axes)
One atom of each set of equivalent atoms:
Ce (0.0365, 0.2125, 0.3952) x18
Ce (0.0572, 0.1972, 0.8759) x18
Pa (0.0000, 0.0000, 0.0000) x3
Pa (0.0000, 0.0000, 0.5000) x3
Ge (0.0486, 0.4379, 0.3114) x18

- DFT total energy (Ry per atom) = -0.4451
- ΔH_f (0 K) (meV per atom) = -160
- magnetic moment (μB/f.u.) = 5.8
- calculated density (kg/m3) = 7566

---

(6)
An optimized crystal structure of TlAgSnTe3. Source: Alexandria, functional GGA-PBE.

Lattice parameters (Å, degrees): 9.2755 4.4076 9.8183 90.00 103.74 90.00
Space group P2_1/m (No. 11)
One atom of each set of equivalent atoms:
Tl (0.1979, 0.2500, 0.2560) x2
Ag (0.0636, 0.2500, 0.5848) x2
Sn (0.3245, 0.7500, 0.8649) x2
Te (0.1109, 0.2500, 0.8863) x2
Te (0.2489, 0.7500, 0.5522) x2
Te (0.4529, 0.7500, 0.1689) x2

- DFT total energy (Ry per atom) = -0.2401
- magnetic moment (μB/f.u.) = 0.0
- formation energy without anion corrections (eV per formula unit) = -0.95
- calculated density (kg/m3) = 6931

---

(7)
An optimized crystal structure of UMnCo17. Source: Alexandria, functional GGA-PBE.

Lattice parameters (Å, degrees): 8.1525 8.1525 12.0263 90.00 90.00 120.00
Space group R3m (No. 160, hexagonal axes)
One atom of each set of equivalent atoms:
U (0.0000, 0.0000, 0.0000) x3
Mn (0.0000, 0.0000, 0.3096) x3
Co (0.0000, 0.0000, 0.5490) x3
Co (0.0000, 0.0000, 0.7464) x3
Co (0.0013, 0.2970, 0.6478) x18
Co (0.0047, 0.5023, 0.5002) x9
Co (0.0077, 0.5039, 0.1447) x9
Co (0.0085, 0.5042, 0.8008) x9

- DFT total energy (Ry per atom) = -0.5435
- ΔH_f (0 K) (meV per atom) = 41
- magnetic moment (μB/f.u.) = 27.4
- calculated density (kg/m3) = 9318

---

(8)
An optimized crystal structure of Sr2Hg3Pd. Source: Alexandria, functional GGA-PBE.

Lattice parameters (Å, degrees): 4.0991 4.8913 8.5697 90.00 90.00 90.00
Space group Pmm2 (No. 25)
One atom of each set of equivalent atoms:
Sr (0.0000, 0.0000, 0.0000) x1
Sr (0.0000, 0.5000, 0.4581) x1
Hg (0.5000, 0.0000, 0.6262) x1
Hg (0.5000, 0.5000, 0.1511) x1
Hg (0.5000, 0.5000, 0.8100) x1
Pd (0.5000, 0.0000, 0.3040) x1

- DFT total energy (Ry per atom) = -0.1538
- ΔH_f (0 K) (meV per atom) = -516
- relative energy among the computed polymorphs (meV per atom) = 12
- magnetic moment (μB/f.u.) = 0.0
- calculated density (kg/m3) = 8538

---

(9)
An optimized crystal structure of HfTcPS2. Source: Alexandria, functional GGA-PBE.

Lattice parameters (Å, degrees): 4.6352 4.6352 4.4969 90.00 90.00 90.00
Space group P4/mmm (No. 123)
One atom of each set of equivalent atoms:
Hf (0.0000, 0.0000, 0.0000) x1
Tc (0.5000, 0.5000, 0.5000) x1
P (0.5000, 0.5000, 0.0000) x1
S (0.0000, 0.5000, 0.5000) x2

- DFT total energy (Ry per atom) = -0.4764
- relative energy among the computed polymorphs (meV per atom) = 0
- magnetic moment (μB/f.u.) = 0.0
- formation energy without anion corrections (eV per formula unit) = 1.57
- calculated density (kg/m3) = 6387

---

(10)
An optimized crystal structure of CaGdGaRu. Source: Alexandria, functional GGA-PBE.

Lattice parameters (Å, degrees): 7.0309 7.0309 7.0309 90.00 90.00 90.00
Space group F-43m (No. 216)
One atom of each set of equivalent atoms:
Ca (0.0000, 0.0000, 0.0000) x4
Gd (0.0000, 0.0000, 0.5000) x4
Ga (0.2500, 0.2500, 0.2500) x4
Ru (0.2500, 0.2500, 0.7500) x4

- DFT total energy (Ry per atom) = -0.5361
- ΔH_f (0 K) (meV per atom) = -198
- magnetic moment (μB/f.u.) = 7.1
- calculated density (kg/m3) = 7035

---

(11)
An optimized crystal structure of CeAlAs2. Source: Alexandria, functional GGA-PBE.

Lattice parameters (Å, degrees): 4.6145 4.6145 3.8276 90.00 90.00 90.00
Space group P4/mmm (No. 123)
One atom of each set of equivalent atoms:
Ce (0.0000, 0.0000, 0.0000) x1
Al (0.5000, 0.5000, 0.0000) x1
As (0.0000, 0.5000, 0.5000) x2

- DFT total energy (Ry per atom) = -0.4021
- ΔH_f (0 K) (meV per atom) = -727
- relative energy among the computed polymorphs (meV per atom) = 0
- magnetic moment (μB/f.u.) = 0.0
- calculated density (kg/m3) = 6457

---

(12)
An optimized crystal structure of Dy4HoHg. Source: Alexandria, functional GGA-PBE.

Lattice parameters (Å, degrees): 3.5624 3.5624 14.0012 90.00 90.00 90.00
Space group P4/mmm (No. 123)
One atom of each set of equivalent atoms:
Dy (0.0000, 0.0000, 0.1443) x2
Dy (0.5000, 0.5000, 0.3229) x2
Ho (0.0000, 0.0000, 0.5000) x1
Hg (0.5000, 0.5000, 0.0000) x1

- DFT total energy (Ry per atom) = -0.2958
- ΔH_f (0 K) (meV per atom) = -144
- relative energy among the computed polymorphs (meV per atom) = 0
- magnetic moment (μB/f.u.) = 0.0
- calculated density (kg/m3) = 9490

---

(13)
An optimized crystal structure of NaCoRu. Source: Alexandria, functional GGA-PBE.

Lattice parameters (Å, degrees): 4.5528 4.5528 5.0114 90.00 90.00 120.00
Space group P6_3/mmc (No. 194)
One atom of each set of equivalent atoms:
Na (0.0000, 0.0000, 0.0000) x2
Co (0.3333, 0.6667, 0.2500) x2
Ru (0.3333, 0.6667, 0.7500) x2

- DFT total energy (Ry per atom) = -0.3753
- ΔH_f (0 K) (meV per atom) = 793
- relative energy among the computed polymorphs (meV per atom) = 398
- magnetic moment (μB/f.u.) = 3.1
- calculated density (kg/m3) = 6756

---

(14)
An optimized crystal structure of La2Be3Si4Rh. Source: Alexandria, functional GGA-PBE.

Lattice parameters (Å, degrees): 4.0628 4.0628 9.9207 90.00 90.00 90.00
Space group P-4m2 (No. 115)
One atom of each set of equivalent atoms:
La (0.0000, 0.5000, 0.2437) x2
Be (0.0000, 0.5000, 0.8738) x2
Be (0.5000, 0.5000, 0.5000) x1
Si (0.0000, 0.0000, 0.0000) x1
Si (0.0000, 0.5000, 0.6299) x2
Si (0.5000, 0.5000, 0.0000) x1
Rh (0.0000, 0.0000, 0.5000) x1

- DFT total energy (Ry per atom) = -0.4076
- magnetic moment (μB/f.u.) = 0.0
- formation energy without anion corrections (eV per formula unit) = -5.38
- calculated density (kg/m3) = 5274

---

(15)
An optimized crystal structure of BaNa2TeO. Source: Alexandria, functional GGA-PBE.

Lattice parameters (Å, degrees): 4.2486 14.2402 8.5417 90.00 90.00 90.00
Space group Cmcm (No. 63)
One atom of each set of equivalent atoms:
Ba (0.0000, 0.0304, 0.2500) x4
Na (0.0000, 0.3462, 0.0499) x8
Te (0.0000, 0.2417, 0.7500) x4
O (0.0000, 0.5000, 0.0000) x4

- DFT total energy (Ry per atom) = -0.2889
- magnetic moment (μB/f.u.) = 0.0
- formation energy without anion corrections (eV per formula unit) = -6.99
- calculated density (kg/m3) = 4202

---

(16)
An optimized crystal structure of Cd2AgPt5. Source: Alexandria, functional GGA-PBE.

Lattice parameters (Å, degrees): 5.7439 11.4742 4.0646 90.00 90.00 90.00
Space group Pbam (No. 55)
One atom of each set of equivalent atoms:
Cd (0.2418, 0.1240, 0.0000) x4
Ag (0.0000, 0.0000, 0.5000) x2
Pt (0.0000, 0.5000, 0.5000) x2
Pt (0.0142, 0.7490, 0.5000) x4
Pt (0.2387, 0.3719, 0.0000) x4

- DFT total energy (Ry per atom) = -0.3332
- ΔH_f (0 K) (meV per atom) = -172
- magnetic moment (μB/f.u.) = 0.0
- calculated density (kg/m3) = 16217

---

(17)
An optimized crystal structure of ThPa2Sb3. Source: Alexandria, functional GGA-PBE.

Lattice parameters (Å, degrees): 7.6420 13.2401 7.6326 90.00 109.51 90.00
Space group C2/m (No. 12)
One atom of each set of equivalent atoms:
Th (0.0000, 0.1652, 0.0000) x4
Pa (0.0000, 0.0000, 0.5000) x2
Pa (0.0000, 0.3288, 0.5000) x4
Pa (0.0000, 0.5000, 0.0000) x2
Sb (0.2394, 0.5000, 0.7396) x4
Sb (0.2479, 0.3362, 0.2545) x8

- DFT total energy (Ry per atom) = -0.5181
- magnetic moment (μB/f.u.) = 0.7
- formation energy without anion corrections (eV per formula unit) = -3.51
- calculated density (kg/m3) = 9667

---

(18)
An optimized crystal structure of SrTe5. Source: Alexandria, functional GGA-PBE.

Lattice parameters (Å, degrees): 5.7476 14.0157 4.9080 90.00 90.00 90.00
Space group Cmmm (No. 65)
One atom of each set of equivalent atoms:
Sr (0.0000, 0.0000, 0.0000) x2
Te (0.0000, 0.2195, 0.5000) x4
Te (0.0000, 0.3588, 0.0000) x4
Te (0.0000, 0.5000, 0.5000) x2

- DFT total energy (Ry per atom) = -0.2439
- relative energy among the computed polymorphs (meV per atom) = 23
- magnetic moment (μB/f.u.) = 0.0
- formation energy without anion corrections (eV per formula unit) = -2.52
- calculated density (kg/m3) = 6095

---

(19)
An optimized crystal structure of Li2YIrO6. Source: Alexandria, functional GGA-PBE.

Lattice parameters (Å, degrees): 5.3494 5.4799 9.4383 90.00 124.04 90.00
Space group P2_1/c (No. 14)
One atom of each set of equivalent atoms:
Li (0.2244, 0.0245, 0.2428) x4
Y (0.0000, 0.0000, 0.5000) x2
Ir (0.5000, 0.0000, 0.0000) x2
O (0.1523, 0.0734, 0.7721) x4
O (0.2464, 0.6465, 0.5588) x4
O (0.4410, 0.1923, 0.5740) x4

- DFT total energy (Ry per atom) = -0.4844
- magnetic moment (μB/f.u.) = 1.2
- formation energy without anion corrections (eV per formula unit) = -17.00
- calculated density (kg/m3) = 5664

---

(20)
An optimized crystal structure of EuTiPb2. Source: Alexandria, functional GGA-PBE.

Lattice parameters (Å, degrees): 3.8195 3.8195 7.2778 90.00 90.00 90.00
Space group P4/mmm (No. 123)
One atom of each set of equivalent atoms:
Eu (0.0000, 0.0000, 0.0000) x1
Ti (0.0000, 0.0000, 0.5000) x1
Pb (0.5000, 0.5000, 0.2868) x2

- DFT total energy (Ry per atom) = -0.4802
- ΔH_f (0 K) (meV per atom) = -138
- relative energy among the computed polymorphs (meV per atom) = 0
- magnetic moment (μB/f.u.) = 5.7
- calculated density (kg/m3) = 9607

---

(21)
An optimized crystal structure of AgRh2Cl. Source: Alexandria, functional GGA-PBE.

Lattice parameters (Å, degrees): 9.7658 2.8505 4.9018 90.00 111.07 90.00
Space group C2/m (No. 12)
One atom of each set of equivalent atoms:
Ag (0.0000, 0.0000, 0.0000) x2
Rh (0.2291, 0.0000, 0.7381) x4
Cl (0.0000, 0.5000, 0.5000) x2

- DFT total energy (Ry per atom) = -0.3216
- relative energy among the computed polymorphs (meV per atom) = 296
- magnetic moment (μB/f.u.) = 0.0
- formation energy without anion corrections (eV per formula unit) = 1.90
- calculated density (kg/m3) = 9106

---

(22)
An optimized crystal structure of ScH3O. Source: Alexandria, functional GGA-PBE.

Lattice parameters (Å, degrees): 3.3415 3.3415 3.3415 90.00 90.00 90.00
Space group Pm-3m (No. 221)
One atom of each set of equivalent atoms:
Sc (0.0000, 0.0000, 0.0000) x1
H (0.0000, 0.5000, 0.5000) x3
O (0.5000, 0.5000, 0.5000) x1

- DFT total energy (Ry per atom) = -0.2911
- relative energy among the computed polymorphs (meV per atom) = 0
- magnetic moment (μB/f.u.) = 0.0
- calculated density (kg/m3) = 2847

---

(23)
An optimized crystal structure of Hf6TiBi. Source: Alexandria, functional GGA-PBE.

Lattice parameters (Å, degrees): 5.6017 5.6097 5.6164 90.00 90.19 90.02
Space group P-1 (No. 2)
One atom of each set of equivalent atoms:
Hf (0.9995, 0.2428, 0.9999) x2
Hf (0.2575, 0.0001, 0.4926) x2
Hf (0.4989, 0.5029, 0.2422) x2
Ti (0.5000, 0.0000, 0.0000) x1
Bi (0.0000, 0.5000, 0.5000) x1

- DFT total energy (Ry per atom) = -0.6549
- ΔH_f (0 K) (meV per atom) = 26
- magnetic moment (μB/f.u.) = 0.0
- calculated density (kg/m3) = 12493